(1)
# DyPuIr, relaxed, DFT GGA-PBE
# D(E_F) = 2.407 states/eV/atom
# Energy relative to the elements = -0.73 eV per formula unit
data_DyPuIr
_chemical_formula_sum 'Dy1 Pu1 Ir1'
_cell_length_a 4.8039
_cell_length_b 4.8039
_cell_length_c 3.2656
_cell_angle_alpha 90.00
_cell_angle_beta 90.00
_cell_angle_gamma 120.00
_space_group_name_H-M_alt 'P 1'
_space_group_IT_number 1
loop_
_space_group_symop_operation_xyz
'x,y,z'
loop_
_atom_site_label
_atom_site_type_symbol
_atom_site_fract_x
_atom_site_fract_y
_atom_site_fract_z
Dy1 Dy 0.0000 0.0000 0.0000
Pu1 Pu 0.3333 0.6667 0.6041
Ir1 Ir 0.6667 0.3333 0.3524

(2)
# Dy3PuIr4, relaxed, DFT GGA-PBE
# D(E_F) = 1.236 states/eV/atom
# Energy relative to the elements = -5.57 eV per formula unit
data_Dy3PuIr4
_chemical_formula_sum 'Dy3 Pu1 Ir4'
_cell_length_a 3.2732
_cell_length_b 4.9365
_cell_length_c 9.9658
_cell_angle_alpha 90.00
_cell_angle_beta 90.00
_cell_angle_gamma 90.00
_space_group_name_H-M_alt 'P 1'
_space_group_IT_number 1
loop_
_space_group_symop_operation_xyz
'x,y,z'
loop_
_atom_site_label
_atom_site_type_symbol
_atom_site_fract_x
_atom_site_fract_y
_atom_site_fract_z
Dy1 Dy 0.0000 0.0000 0.0000
Dy2 Dy 0.0000 0.5000 0.2482
Dy3 Dy 0.0000 0.5000 0.7518
Pu1 Pu 0.0000 0.0000 0.5000
Ir1 Ir 0.5000 0.0000 0.2492
Ir2 Ir 0.5000 0.0000 0.7508
Ir3 Ir 0.5000 0.5000 0.0000
Ir4 Ir 0.5000 0.5000 0.5000

(3)
# DyPuIr, relaxed, DFT GGA-PBE
# D(E_F) = 2.537 states/eV/atom
# Energy relative to the elements = -1.61 eV per formula unit
data_DyPuIr
_chemical_formula_sum 'Dy3 Pu3 Ir3'
_cell_length_a 4.6540
_cell_length_b 7.1854
_cell_length_c 7.1854
_cell_angle_alpha 119.21
_cell_angle_beta 90.00
_cell_angle_gamma 90.00
_space_group_name_H-M_alt 'P 1'
_space_group_IT_number 1
loop_
_space_group_symop_operation_xyz
'x,y,z'
loop_
_atom_site_label
_atom_site_type_symbol
_atom_site_fract_x
_atom_site_fract_y
_atom_site_fract_z
Dy1 Dy 0.0000 0.0000 0.0000
Dy2 Dy 0.0000 0.1561 0.5780
Dy3 Dy 0.0000 0.5780 0.1561
Pu1 Pu 0.5000 0.3259 0.3259
Pu2 Pu 0.5000 0.5831 0.8240
Pu3 Pu 0.5000 0.8240 0.5831
Ir1 Ir 0.0000 0.5625 0.5625
Ir2 Ir 0.5000 0.2438 0.9026
Ir3 Ir 0.5000 0.9026 0.2438

(4)
# DyPuIr, relaxed, DFT GGA-PBE
# D(E_F) = 3.258 states/eV/atom
# Energy relative to the elements = -1.35 eV per formula unit
data_DyPuIr
_chemical_formula_sum 'Dy1 Pu1 Ir1'
_cell_length_a 4.7930
_cell_length_b 4.7930
_cell_length_c 4.7930
_cell_angle_alpha 60.00
_cell_angle_beta 60.00
_cell_angle_gamma 60.00
_space_group_name_H-M_alt 'P 1'
_space_group_IT_number 1
loop_
_space_group_symop_operation_xyz
'x,y,z'
loop_
_atom_site_label
_atom_site_type_symbol
_atom_site_fract_x
_atom_site_fract_y
_atom_site_fract_z
Dy1 Dy 0.0000 0.0000 0.0000
Pu1 Pu 0.5000 0.5000 0.5000
Ir1 Ir 0.2500 0.2500 0.2500

(5)
# Dy5PuIr6, relaxed, DFT GGA-PBE
# D(E_F) = 1.038 states/eV/atom
# Energy relative to the elements = -8.76 eV per formula unit
data_Dy5PuIr6
_chemical_formula_sum 'Dy5 Pu1 Ir6'
_cell_length_a 7.5367
_cell_length_b 7.5367
_cell_length_c 7.1033
_cell_angle_alpha 90.00
_cell_angle_beta 90.00
_cell_angle_gamma 143.17
_space_group_name_H-M_alt 'P 1'
_space_group_IT_number 1
loop_
_space_group_symop_operation_xyz
'x,y,z'
loop_
_atom_site_label
_atom_site_type_symbol
_atom_site_fract_x
_atom_site_fract_y
_atom_site_fract_z
Dy1 Dy 0.0000 0.0000 0.0000
Dy2 Dy 0.3330 0.6670 0.0000
Dy3 Dy 0.3329 0.6671 0.5000
Dy4 Dy 0.6670 0.3330 0.0000
Dy5 Dy 0.6671 0.3329 0.5000
Pu1 Pu 0.0000 0.0000 0.5000
Ir1 Ir 0.1652 0.8348 0.2501
Ir2 Ir 0.1652 0.8348 0.7499
Ir3 Ir 0.5000 0.5000 0.2520
Ir4 Ir 0.5000 0.5000 0.7480
Ir5 Ir 0.8348 0.1652 0.2501
Ir6 Ir 0.8348 0.1652 0.7499

(6)
# DyPuIr, relaxed, DFT GGA-PBE
# D(E_F) = 2.955 states/eV/atom
# Energy relative to the elements = -1.13 eV per formula unit
data_DyPuIr
_chemical_formula_sum 'Dy1 Pu1 Ir1'
_cell_length_a 6.4652
_cell_length_b 6.4652
_cell_length_c 6.4652
_cell_angle_alpha 148.77
_cell_angle_beta 148.77
_cell_angle_gamma 44.76
_space_group_name_H-M_alt 'P 1'
_space_group_IT_number 1
loop_
_space_group_symop_operation_xyz
'x,y,z'
loop_
_atom_site_label
_atom_site_type_symbol
_atom_site_fract_x
_atom_site_fract_y
_atom_site_fract_z
Dy1 Dy 0.0000 0.0000 0.0000
Pu1 Pu 0.2714 0.2714 0.0000
Ir1 Ir 0.6361 0.6361 0.0000

(7)
# Dy2PuIr, relaxed, DFT GGA-PBE
# D(E_F) = 2.885 states/eV/atom
# Energy relative to the elements = -0.10 eV per formula unit
data_Dy2PuIr
_chemical_formula_sum 'Dy2 Pu1 Ir1'
_cell_length_a 10.5416
_cell_length_b 10.5416
_cell_length_c 10.5416
_cell_angle_alpha 20.42
_cell_angle_beta 20.42
_cell_angle_gamma 20.42
_space_group_name_H-M_alt 'P 1'
_space_group_IT_number 1
loop_
_space_group_symop_operation_xyz
'x,y,z'
loop_
_atom_site_label
_atom_site_type_symbol
_atom_site_fract_x
_atom_site_fract_y
_atom_site_fract_z
Dy1 Dy 0.1125 0.1125 0.1125
Dy2 Dy 0.8875 0.8875 0.8875
Pu1 Pu 0.0000 0.0000 0.0000
Ir1 Ir 0.5000 0.5000 0.5000

(8)
# DyPu3Ir2, relaxed, DFT GGA-PBE
# D(E_F) = 3.755 states/eV/atom
# Energy relative to the elements = -2.44 eV per formula unit
data_DyPu3Ir2
_chemical_formula_sum 'Dy2 Pu6 Ir4'
_cell_length_a 3.9389
_cell_length_b 8.6930
_cell_length_c 7.9971
_cell_angle_alpha 90.00
_cell_angle_beta 90.00
_cell_angle_gamma 90.00
_space_group_name_H-M_alt 'P 1'
_space_group_IT_number 1
loop_
_space_group_symop_operation_xyz
'x,y,z'
loop_
_atom_site_label
_atom_site_type_symbol
_atom_site_fract_x
_atom_site_fract_y
_atom_site_fract_z
Dy1 Dy 0.0000 0.0849 0.0000
Dy2 Dy 0.0000 0.9151 0.5000
Pu1 Pu 0.0000 0.2973 0.5919
Pu2 Pu 0.0000 0.7027 0.0919
Pu3 Pu 0.5000 0.1995 0.3374
Pu4 Pu 0.5000 0.4248 0.9275
Pu5 Pu 0.5000 0.5752 0.4275
Pu6 Pu 0.5000 0.8005 0.8374
Ir1 Ir 0.0000 0.3880 0.1956
Ir2 Ir 0.0000 0.6120 0.6956
Ir3 Ir 0.5000 0.1078 0.7266
Ir4 Ir 0.5000 0.8922 0.2266

(9)
# DyPu2Ir9, relaxed, DFT GGA-PBE
# D(E_F) = 1.936 states/eV/atom
# Energy relative to the elements = -5.53 eV per formula unit
data_DyPu2Ir9
_chemical_formula_sum 'Dy1 Pu2 Ir9'
_cell_length_a 9.3024
_cell_length_b 9.3024
_cell_length_c 9.3024
_cell_angle_alpha 33.08
_cell_angle_beta 33.08
_cell_angle_gamma 33.08
_space_group_name_H-M_alt 'P 1'
_space_group_IT_number 1
loop_
_space_group_symop_operation_xyz
'x,y,z'
loop_
_atom_site_label
_atom_site_type_symbol
_atom_site_fract_x
_atom_site_fract_y
_atom_site_fract_z
Dy1 Dy 0.0000 0.0000 0.0000
Pu1 Pu 0.1398 0.1398 0.1398
Pu2 Pu 0.8602 0.8602 0.8602
Ir1 Ir 0.0809 0.5839 0.5839
Ir2 Ir 0.3331 0.3331 0.3331
Ir3 Ir 0.4161 0.4161 0.9191
Ir4 Ir 0.4161 0.9191 0.4161
Ir5 Ir 0.5000 0.5000 0.5000
Ir6 Ir 0.5839 0.0809 0.5839
Ir7 Ir 0.5839 0.5839 0.0809
Ir8 Ir 0.6669 0.6669 0.6669
Ir9 Ir 0.9191 0.4161 0.4161

(10)
# Dy2PuIr9, relaxed, DFT GGA-PBE
# D(E_F) = 1.562 states/eV/atom
# Energy relative to the elements = -6.35 eV per formula unit
data_Dy2PuIr9
_chemical_formula_sum 'Dy2 Pu1 Ir9'
_cell_length_a 9.2979
_cell_length_b 9.2979
_cell_length_c 9.2979
_cell_angle_alpha 33.15
_cell_angle_beta 33.15
_cell_angle_gamma 33.15
_space_group_name_H-M_alt 'P 1'
_space_group_IT_number 1
loop_
_space_group_symop_operation_xyz
'x,y,z'
loop_
_atom_site_label
_atom_site_type_symbol
_atom_site_fract_x
_atom_site_fract_y
_atom_site_fract_z
Dy1 Dy 0.1395 0.1395 0.1395
Dy2 Dy 0.8605 0.8605 0.8605
Pu1 Pu 0.0000 0.0000 0.0000
Ir1 Ir 0.0826 0.5822 0.5822
Ir2 Ir 0.3331 0.3331 0.3331
Ir3 Ir 0.4178 0.4178 0.9174
Ir4 Ir 0.4178 0.9174 0.4178
Ir5 Ir 0.5000 0.5000 0.5000
Ir6 Ir 0.5822 0.0826 0.5822
Ir7 Ir 0.5822 0.5822 0.0826
Ir8 Ir 0.6669 0.6669 0.6669
Ir9 Ir 0.9174 0.4178 0.4178

(11)
# DyPuIr, relaxed, DFT GGA-PBE
# D(E_F) = 2.408 states/eV/atom
# Energy relative to the elements = -1.12 eV per formula unit
data_DyPuIr
_chemical_formula_sum 'Dy2 Pu2 Ir2'
_cell_length_a 4.7548
_cell_length_b 4.7548
_cell_length_c 6.8839
_cell_angle_alpha 102.18
_cell_angle_beta 102.18
_cell_angle_gamma 88.23
_space_group_name_H-M_alt 'P 1'
_space_group_IT_number 1
loop_
_space_group_symop_operation_xyz
'x,y,z'
loop_
_atom_site_label
_atom_site_type_symbol
_atom_site_fract_x
_atom_site_fract_y
_atom_site_fract_z
Dy1 Dy 0.2395 0.7605 0.0000
Dy2 Dy 0.7605 0.2395 0.0000
Pu1 Pu 0.2220 0.2220 0.5898
Pu2 Pu 0.7780 0.7780 0.4102
Ir1 Ir 0.3498 0.3498 0.2501
Ir2 Ir 0.6502 0.6502 0.7499

(12)
# DyPuIr4, relaxed, DFT GGA-PBE
# D(E_F) = 1.943 states/eV/atom
# Energy relative to the elements = -4.05 eV per formula unit
data_DyPuIr4
_chemical_formula_sum 'Dy1 Pu1 Ir4'
_cell_length_a 5.3601
_cell_length_b 5.3601
_cell_length_c 5.3601
_cell_angle_alpha 60.00
_cell_angle_beta 60.00
_cell_angle_gamma 60.00
_space_group_name_H-M_alt 'P 1'
_space_group_IT_number 1
loop_
_space_group_symop_operation_xyz
'x,y,z'
loop_
_atom_site_label
_atom_site_type_symbol
_atom_site_fract_x
_atom_site_fract_y
_atom_site_fract_z
Dy1 Dy 0.0000 0.0000 0.0000
Pu1 Pu 0.7500 0.7500 0.7500
Ir1 Ir 0.3750 0.3750 0.3750
Ir2 Ir 0.3750 0.3750 0.8749
Ir3 Ir 0.3750 0.8749 0.3750
Ir4 Ir 0.8749 0.3750 0.3750

Number 2 is which compound? Dy3PuIr4